[1]
This record from Alexandria via LeMat-Bulk describes a relaxed structure of TlGa6Sn12. The functional is GGA-PBE.

a = 8.5938 Å, b = 8.5938 Å, c = 8.5938 Å
α = 109.47°, β = 109.47°, γ = 109.47°
Last column: nearest neighbours and their distance in Å.
Sites, in units of the cell vectors:
Ga: 0.6297 0.5000 0.1297  1 Ga 2.57, 2 Sn 2.85
Ga: 0.5000 0.8703 0.3703  1 Ga 2.57, 2 Sn 2.85
Ga: 0.3703 0.5000 0.8703  1 Ga 2.57, 2 Sn 2.85
Ga: 0.8703 0.3703 0.5000  1 Ga 2.57, 2 Sn 2.85
Ga: 0.1297 0.6297 0.5000  1 Ga 2.57, 2 Sn 2.85
Ga: 0.5000 0.1297 0.6297  1 Ga 2.57, 2 Sn 2.85
Sn: 0.7769 0.2531 0.0299  2 Ga 2.85-3.01
Sn: 0.0299 0.7769 0.2531  2 Ga 2.85-3.01
Sn: 0.4762 0.2231 0.2531  2 Ga 2.85-3.01
Sn: 0.7469 0.5238 0.7769  2 Ga 2.85-3.01
Sn: 0.2231 0.2531 0.4762  2 Ga 2.85-3.01
Sn: 0.9701 0.2231 0.7469  2 Ga 2.85-3.01
Sn: 0.5238 0.7769 0.7469  2 Ga 2.85-3.01
Sn: 0.7469 0.9701 0.2231  2 Ga 2.85-3.01
Sn: 0.2531 0.4762 0.2231  2 Ga 2.85-3.01
Sn: 0.7769 0.7469 0.5238  2 Ga 2.85-3.01
Sn: 0.2231 0.7469 0.9701  2 Ga 2.85-3.01
Sn: 0.2531 0.0299 0.7769  2 Ga 2.85-3.01
Tl: 0.0000 0.0000 0.0000  12 Sn 3.35

Summary:
For the formation energy, the calculation gives 1.5 eV per formula unit. The value obtained for the density of states at the Fermi level is 12.0 states/eV/cell. As for the symmetry: Im-3. As for the total moment: 0.00 μB/atom.

---

[2]
This record from Alexandria via LeMat-Bulk describes a relaxed structure of Li3YPd4. The functional is GGA-PBE.

a = 4.2685 Å, b = 6.8805 Å, c = 8.5369 Å
α = 90.00°, β = 90.00°, γ = 90.00°
Last column: nearest neighbours and their distance in Å.
Sites, in units of the cell vectors:
Li: 0.4999 0.0000 0.2500  8 Pd 2.63
Li: 0.0000 0.0000 0.5000  8 Pd 2.63
Li: 0.5001 0.5000 0.7500  8 Pd 2.85, 4 Y 3.02
Li: 0.5001 0.0000 0.7500  8 Pd 2.63
Li: 0.4999 0.5000 0.2500  8 Pd 2.85, 4 Y 3.02
Li: 0.0000 0.0000 0.0000  8 Pd 2.63
Pd: 0.9999 0.2245 0.2500  6 Li 2.63-2.85, 2 Y 2.85
Pd: 0.5000 0.7755 0.0000  6 Li 2.63-2.85, 2 Y 2.85
Pd: 0.5000 0.7755 0.5000  6 Li 2.63-2.85, 2 Y 2.85
Pd: 0.5000 0.2245 0.0000  6 Li 2.63-2.85, 2 Y 2.85
Pd: 0.0001 0.7755 0.7500  6 Li 2.63-2.85, 2 Y 2.85
Pd: 0.5000 0.2245 0.5000  6 Li 2.63-2.85, 2 Y 2.85
Pd: 0.9999 0.7755 0.2500  6 Li 2.63-2.85, 2 Y 2.85
Pd: 0.0001 0.2245 0.7500  6 Li 2.63-2.85, 2 Y 2.85
Y: 0.0000 0.5000 0.0000  8 Pd 2.85, 4 Li 3.02
Y: 0.0000 0.5000 0.5000  8 Pd 2.85, 4 Li 3.02

Summary:
For the formation energy, the calculation gives -4.7 eV per formula unit. The value obtained for the density of states at the Fermi level is 3.3 states/eV/cell. As for the symmetry: P4/mmm. As for the total moment: 0.00 μB/atom.

---

[3]
This record from Alexandria via LeMat-Bulk describes a relaxed structure of Fe2CoSe. The functional is GGA-PBE.

a = 4.7137 Å, b = 4.7137 Å, c = 4.1000 Å
α = 72.30°, β = 72.30°, γ = 37.13°
Last column: nearest neighbours and their distance in Å.
Sites, in units of the cell vectors:
Co: 0.2386 0.2386 0.2025  7 Fe 2.49-2.62, 2 Se 2.49
Fe: 0.9740 0.9740 0.0624  3 Co 2.50-2.61, 4 Se 2.56-2.58, 2 Fe 2.68-2.71
Fe: 0.7676 0.7676 0.7028  4 Co 2.49-2.62, 3 Se 2.53-2.61, 2 Fe 2.68-2.71
Se: 0.5199 0.5199 0.5323  2 Co 2.49, 7 Fe 2.53-2.61

Summary:
The value obtained for the density of states at the Fermi level is 2.6 states/eV/cell. The calculation puts the total energy at -6.67 eV/atom. As for the symmetry: Cm. As for the total moment: 1.66 μB/atom.

---

[4]
This record from Alexandria via LeMat-Bulk describes a relaxed structure of La5PmAl6. The functional is GGA-PBE.

a = 5.3519 Å, b = 7.5541 Å, c = 9.2671 Å
α = 65.95°, β = 73.33°, γ = 90.00°
Last column: nearest neighbours and their distance in Å.
Sites, in units of the cell vectors:
Al: 0.8362 0.5938 0.3272  1 Pm 3.20, 7 La 3.25-3.32
Al: 0.8362 0.0791 0.3272  1 Pm 3.20, 7 La 3.25-3.32
Al: 0.1638 0.9209 0.6728  1 Pm 3.20, 7 La 3.25-3.32
Al: 0.5000 0.7643 0.0000  2 Pm 3.21, 6 La 3.29-3.34, 1 Al 3.56
Al: 0.1638 0.4062 0.6728  1 Pm 3.20, 7 La 3.25-3.32
Al: 0.5000 0.2357 0.0000  2 Pm 3.21, 6 La 3.29-3.34, 1 Al 3.56
Pm: 0.0000 0.0000 0.0000  8 Al 3.20-3.21
La: 0.6722 0.1721 0.6558  8 Al 3.25-3.29
La: 0.3278 0.8279 0.3442  8 Al 3.25-3.29
La: 0.6642 0.6640 0.6722  8 Al 3.30-3.32
La: 0.0000 0.5000 0.0000  8 Al 3.27-3.34
La: 0.3358 0.3360 0.3278  8 Al 3.30-3.32

Summary:
For the formation energy, the calculation gives -4.3 eV per formula unit. The value obtained for the density of states at the Fermi level is 5.1 states/eV/cell. As for the symmetry: C2/m. As for the total moment: 0.00 μB/atom.

---

[5]
This record from Alexandria via LeMat-Bulk describes a relaxed structure of H2SBr. The functional is GGA-PBE.

a = 5.3916 Å, b = 5.3916 Å, c = 5.3992 Å
α = 60.05°, β = 60.05°, γ = 90.00°
Last column: nearest neighbours and their distance in Å.
Sites, in units of the cell vectors:
Br: 0.0000 0.0000 0.0000  12 H 3.16-3.17, 4 Br 3.30, 4 S 3.30
Br: 0.7500 0.2500 0.5000  12 H 3.16-3.17, 4 S 3.30, 4 Br 3.30
H: 0.3750 0.1250 0.2500  2 S 1.65
H: 0.3750 0.6250 0.7500  2 S 1.65
H: 0.8750 0.6250 0.7500  2 S 1.65
H: 0.3750 0.6250 0.2500  2 S 1.65
S: 0.5000 0.5000 0.0000  4 H 1.65
S: 0.2500 0.7500 0.5000  4 H 1.65

Summary:
The value obtained for the density of states at the Fermi level is 4.5 states/eV/cell. The relative energy among the computed polymorphs comes out at 309 meV per atom. As for the symmetry: I4_1/amd. As for the total moment: 0.22 μB/atom.

---

[6]
This record from Alexandria via LeMat-Bulk describes a relaxed structure of AcPr2CdHg4. The functional is GGA-PBE.

a = 5.2783 Å, b = 5.2783 Å, c = 10.0835 Å
α = 74.83°, β = 74.83°, γ = 60.00°
Last column: nearest neighbours and their distance in Å.
Sites, in units of the cell vectors:
Pr: 0.7641 0.7641 0.7077  7 Hg 3.15-3.34
Pr: 0.2359 0.2359 0.2923  7 Hg 3.15-3.34
Hg: 0.6169 0.6169 0.1493  3 Pr 3.34, 3 Ac 3.37, 1 Cd 3.37, 3 Hg 3.73
Hg: 0.8756 0.8756 0.3733  4 Pr 3.15-3.21, 3 Cd 3.28
Hg: 0.3831 0.3831 0.8507  3 Pr 3.34, 3 Ac 3.37, 1 Cd 3.37, 3 Hg 3.73
Hg: 0.1244 0.1244 0.6267  4 Pr 3.15-3.21, 3 Cd 3.28
Ac: 0.0000 0.0000 0.0000  8 Hg 3.37-3.59
Cd: 0.5000 0.5000 0.5000  8 Hg 3.28-3.37, 6 Pr 3.64

Summary:
For the formation energy, the calculation gives -3.3 eV per formula unit. The value obtained for the density of states at the Fermi level is 6.7 states/eV/cell. As for the symmetry: R-3m. As for the total moment: 0.00 μB/atom.

---

[7]
This record from Alexandria via LeMat-Bulk describes a relaxed structure of BeTe2Mo. The functional is GGA-PBE.

a = 3.3190 Å, b = 3.3190 Å, c = 6.9060 Å
α = 90.00°, β = 90.00°, γ = 90.00°
Last column: nearest neighbours and their distance in Å.
Sites, in units of the cell vectors:
Te: 0.0000 0.0000 0.9932  4 Mo 2.89, 4 Be 2.94
Te: 0.0000 0.0000 0.5068  4 Mo 2.89, 4 Be 2.94
Be: 0.5000 0.5000 0.2500  8 Te 2.94
Mo: 0.5000 0.5000 0.7500  8 Te 2.89

Summary:
The value obtained for the density of states at the Fermi level is 2.0 states/eV/cell. The calculation puts the total energy at -4.72 eV/atom. As for the symmetry: P4/mmm. As for the total moment: 0.00 μB/atom.

---

[8]
This record from Alexandria via LeMat-Bulk describes a relaxed structure of Mn2Re2Mo. The functional is GGA-PBE.

a = 7.0824 Å, b = 7.0824 Å, c = 2.7429 Å
α = 90.00°, β = 90.00°, γ = 90.00°
Last column: nearest neighbours and their distance in Å.
Sites, in units of the cell vectors:
Re: 0.6674 0.8326 0.5000  6 Mn 2.45-2.53, 2 Re 2.74
Re: 0.8326 0.3326 0.5000  6 Mn 2.45-2.53, 2 Re 2.74
Re: 0.1674 0.6674 0.5000  6 Mn 2.45-2.53, 2 Re 2.74
Re: 0.3326 0.1674 0.5000  6 Mn 2.45-2.53, 2 Re 2.74
Mn: 0.3701 0.8701 0.0000  6 Re 2.45-2.53, 3 Mn 2.60-2.74
Mn: 0.1299 0.3701 0.0000  6 Re 2.45-2.53, 3 Mn 2.60-2.74
Mn: 0.8701 0.6299 0.0000  6 Re 2.45-2.53, 3 Mn 2.60-2.74
Mn: 0.6299 0.1299 0.0000  6 Re 2.45-2.53, 3 Mn 2.60-2.74
Mo: 0.0000 0.0000 0.0000  2 Mo 2.74, 4 Mn 2.78, 8 Re 2.97
Mo: 0.5000 0.5000 0.0000  2 Mo 2.74, 4 Mn 2.78, 8 Re 2.97

Summary:
For the formation energy, the calculation gives 0.8 eV per formula unit. The value obtained for the density of states at the Fermi level is 8.9 states/eV/cell. As for the symmetry: P4/mbm. As for the total moment: 0.00 μB/atom.